1.
{"formula": "Tb8IrPt5", "functional": "PBE", "state": "optimized geometry", "lattice_angstrom": [[-4.369, 4.369, 4.380], [4.369, -4.369, 4.380], [4.369, 4.369, -4.380]], "species": ["Tb", "Tb", "Tb", "Tb", "Tb", "Tb", "Tb", "Tb", "Ir", "Pt", "Pt", "Pt", "Pt", "Pt"], "fractional_positions": [[0.244, 0.495, 0.622], [0.378, 0.756, 0.251], [0.380, 0.250, 0.252], [0.505, 0.127, 0.749], [0.750, 0.003, 0.130], [0.873, 0.620, 0.870], [0.873, 0.622, 0.378], [0.997, 0.127, 0.748], [0.750, 0.250, 0.500], [0.002, 0.377, 0.127], [0.126, 0.998, 0.376], [0.250, 0.874, 0.873], [0.500, 0.500, 0.000], [0.623, 0.750, 0.624]], "total_energy_ev_per_atom": -6.4847, "sg": "I-4 (82)"}


2.
{"formula": "Na4Zr3Te8", "functional": "PBE", "state": "optimized geometry", "lattice_angstrom": [[4.235, 2.445, 8.174], [-4.235, 2.445, 8.174], [0.000, -4.891, 8.174]], "species": ["Na", "Na", "Na", "Na", "Zr", "Zr", "Zr", "Te", "Te", "Te", "Te", "Te", "Te", "Te", "Te"], "fractional_positions": [[0.000, 0.000, 0.000], [0.140, 0.140, 0.140], [0.500, 0.500, 0.500], [0.860, 0.860, 0.860], [0.000, 0.500, 0.500], [0.500, 0.000, 0.500], [0.500, 0.500, 0.000], [0.247, 0.247, 0.716], [0.247, 0.716, 0.247], [0.265, 0.265, 0.265], [0.284, 0.753, 0.753], [0.716, 0.247, 0.247], [0.735, 0.735, 0.735], [0.753, 0.284, 0.753], [0.753, 0.753, 0.284]], "formation_energy_uncorrected_ev_per_atom": -0.861, "sg": "R-3m (166)"}


3.
{"formula": "Li4Mg4Al3", "functional": "PBE", "state": "optimized geometry", "lattice_angstrom": [[-1.449, 4.198, 8.464], [1.449, -4.198, 8.464], [1.449, 4.198, -8.464]], "species": ["Li", "Li", "Li", "Li", "Mg", "Mg", "Mg", "Mg", "Al", "Al", "Al"], "fractional_positions": [[0.218, 0.000, 0.218], [0.225, 0.225, 0.000], [0.775, 0.775, 0.000], [0.782, 0.000, 0.782], [0.158, 0.847, 0.311], [0.464, 0.153, 0.311], [0.536, 0.847, 0.689], [0.842, 0.153, 0.689], [0.085, 0.585, 0.500], [0.500, 0.500, 0.000], [0.915, 0.415, 0.500]], "sg": "Immm (71)", "relative_energy_kj_per_mol_fu": 0}


4.
{"formula": "MgW2Cl", "functional": "PBE", "state": "optimized geometry", "lattice_angstrom": [[4.784, 0.000, 0.000], [0.000, 4.784, 0.000], [0.000, 0.000, 2.847]], "species": ["Mg", "W", "W", "Cl"], "fractional_positions": [[0.000, 0.000, 0.000], [0.000, 0.500, 0.500], [0.500, 0.000, 0.500], [0.500, 0.500, 0.000]], "formation_energy_uncorrected_ev_per_atom": 1.335, "sg": "P4/mmm (123)", "relative_energy_kj_per_mol_fu": 459}